# BaCaTe2

A relaxed structure of BaCaTe2 (PBE, Alexandria).

Summary:
Energy above the most stable polymorph in this dataset: 219 meV/atom
DFT total energy: -4.029 eV/atom
Crystal system: monoclinic
E_form (uncorrected): -1.477 eV/atom

extended XYZ file:
```
4
Lattice="-4.036 -0.995 -0.532 -0.221 -1.286 4.076 -2.280 6.834 4.509" Properties=species:S:1:pos:R:3 pbc="T T T"
Ca -3.894 3.663 6.173
Te -2.463 5.602 8.195
Te -1.289 2.720 4.683
Ba -2.643 0.889 1.880
```